Material: LaTbYEr
Method: DFT, PBE
State: relaxed

Calculated values
Offset from the most stable computed form in eV/atom: 0.013
Energy relative to the elements in kJ/mol of formula units: 47
Raw total energy in eV/atom: -5.0252

abc: 8.1193 8.1193 8.1193
angles: 90.00 90.00 90.00
Fractional coordinates of all 16 atoms:
La 0.0000 0.0000 0.0000
La 0.0000 0.5000 0.5000
La 0.5000 0.0000 0.5000
La 0.5000 0.5000 0.0000
Tb 0.2500 0.2500 0.2500
Tb 0.2500 0.7500 0.7500
Tb 0.7500 0.2500 0.7500
Tb 0.7500 0.7500 0.2500
Y 0.0000 0.0000 0.5000
Y 0.0000 0.5000 0.0000
Y 0.5000 0.0000 0.0000
Y 0.5000 0.5000 0.5000
Er 0.2500 0.2500 0.7500
Er 0.2500 0.7500 0.2500
Er 0.7500 0.2500 0.2500
Er 0.7500 0.7500 0.7500

***

Material: LaTb2Y6Er3
Method: DFT, PBE
State: relaxed

Calculated values
Energy relative to the elements in kJ/mol of formula units: 28
Raw total energy in eV/atom: -5.5307

abc: 6.1815 6.1815 11.8270
angles: 94.99 94.99 119.96
Fractional coordinates of all 12 atoms:
La 0.0000 0.0000 0.0000
Tb 0.3334 0.6666 0.0000
Tb 0.6666 0.3334 0.0000
Y 0.0850 0.4194 0.2535
Y 0.2496 0.2496 0.7464
Y 0.4194 0.0850 0.2535
Y 0.5806 0.9150 0.7465
Y 0.7504 0.7504 0.2536
Y 0.9150 0.5806 0.7465
Er 0.1670 0.8330 0.5000
Er 0.5000 0.5000 0.5000
Er 0.8330 0.1670 0.5000

***

Material: LaTbY3Er
Method: DFT, PBE
State: relaxed

Calculated values
Energy relative to the elements in kJ/mol of formula units: 64
Raw total energy in eV/atom: -5.4741

abc: 6.6212 6.6212 11.4968
angles: 90.00 90.00 128.21
Fractional coordinates of all 12 atoms:
La 0.0262 0.9738 0.7500
La 0.9738 0.0262 0.2500
Tb 0.5000 0.5000 0.0000
Tb 0.5000 0.5000 0.5000
Y 0.1751 0.8249 0.0233
Y 0.1751 0.8249 0.4767
Y 0.3280 0.6720 0.7500
Y 0.6720 0.3280 0.2500
Y 0.8249 0.1751 0.5233
Y 0.8249 0.1751 0.9767
Er 0.3497 0.6503 0.2500
Er 0.6503 0.3497 0.7500

***

Material: La5TbY2Er
Method: DFT, PBE
State: relaxed

Calculated values
Energy relative to the elements in kJ/mol of formula units: 270
Raw total energy in eV/atom: -4.8841

abc: 9.7693 9.7693 9.7693
angles: 121.41 121.41 87.57
Fractional coordinates of all 18 atoms:
La 0.0000 0.0000 0.0000
La 0.0633 0.5633 0.9026
La 0.1607 0.0633 0.5000
La 0.3393 0.8393 0.9026
La 0.4367 0.3393 0.5000
La 0.5000 0.5000 0.0000
La 0.5633 0.6607 0.5000
La 0.6607 0.1607 0.0974
La 0.8393 0.9367 0.5000
La 0.9367 0.4367 0.0974
Tb 0.2500 0.2500 0.0000
Tb 0.7500 0.7500 0.0000
Y 0.1085 0.3915 0.5000
Y 0.3915 0.8915 0.2831
Y 0.6085 0.1085 0.7169
Y 0.8915 0.6085 0.5000
Er 0.2500 0.7500 0.5000
Er 0.7500 0.2500 0.5000

***

Material: LaTb3Y6Er2
Method: DFT, PBE
State: relaxed

Calculated values
Energy relative to the elements in kJ/mol of formula units: 26
Raw total energy in eV/atom: -5.5385

abc: 6.1862 6.1862 11.8462
angles: 94.97 94.97 119.96
Fractional coordinates of all 12 atoms:
La 0.0000 0.0000 0.0000
Tb 0.1670 0.8330 0.5000
Tb 0.5000 0.5000 0.5000
Tb 0.8330 0.1670 0.5000
Y 0.0845 0.4192 0.2518
Y 0.2506 0.2506 0.7483
Y 0.4192 0.0845 0.2518
Y 0.5808 0.9155 0.7482
Y 0.7494 0.7494 0.2517
Y 0.9155 0.5808 0.7482
Er 0.3333 0.6667 0.0000
Er 0.6667 0.3333 0.0000

***

Material: LaTbY2Er2
Method: DFT, PBE
State: relaxed

Calculated values
Energy relative to the elements in kJ/mol of formula units: 156
Raw total energy in eV/atom: -4.9993

abc: 6.5246 18.0049 3.4026
angles: 90.00 90.00 90.00
Fractional coordinates of all 12 atoms:
La 0.0000 0.0000 0.0000
La 0.5000 0.5000 0.5000
Tb 0.0000 0.5000 0.0000
Tb 0.5000 0.0000 0.5000
Y 0.2156 0.1893 0.0000
Y 0.2844 0.6893 0.5000
Y 0.7156 0.3107 0.5000
Y 0.7844 0.8107 0.0000
Er 0.2132 0.3533 0.5000
Er 0.2868 0.8533 0.0000
Er 0.7132 0.1467 0.0000
Er 0.7868 0.6467 0.5000